First-principles (PBE) data for a geometry-optimized CeSm3Co8 structure, as listed in the Alexandria database.

Calculated values
The formation energy is -11.23 kJ/mol of atoms. Its calculated total energy is -78.3 eV per cell. Its space group is No. 160.

CIF file:
```
data_CeSm3Co8
_chemical_formula_sum 'Ce1 Sm3 Co8'
_symmetry_space_group_name_H-M 'P 1'
_symmetry_Int_Tables_number 1
_cell_length_a 5.101
_cell_length_b 5.101
_cell_length_c 8.835
_cell_angle_alpha 73.22
_cell_angle_beta 73.22
_cell_angle_gamma 60.00
loop_
_symmetry_equiv_pos_as_xyz
'x,y,z'
loop_
_atom_site_label
_atom_site_fract_x
_atom_site_fract_y
_atom_site_fract_z
Co1 0.937 0.437 0.189
Co2 0.437 0.437 0.189
Co3 0.688 0.688 0.937
Co4 0.438 0.938 0.686
Co5 0.437 0.937 0.189
Co6 0.188 0.188 0.436
Co7 0.938 0.938 0.686
Co8 0.938 0.438 0.686
Ce1 0.875 0.875 0.376
Sm1 0.000 0.000 0.002
Sm2 0.375 0.375 0.875
Sm3 0.500 0.500 0.499
```

***

First-principles (PBE) data for a geometry-optimized TbCeSm2Co2 structure, as listed in the Alexandria database.

Calculated values
The formation energy is -9.95 kJ/mol of atoms. Its calculated total energy is -69.7 eV per cell. Its space group is No. 72.

CIF file:
```
data_TbCeSm2Co2
_chemical_formula_sum 'Tb2 Ce2 Sm4 Co4'
_symmetry_space_group_name_H-M 'P 1'
_symmetry_Int_Tables_number 1
_cell_length_a 6.702
_cell_length_b 6.852
_cell_length_c 7.995
_cell_angle_alpha 115.37
_cell_angle_beta 114.78
_cell_angle_gamma 90.00
loop_
_symmetry_equiv_pos_as_xyz
'x,y,z'
loop_
_atom_site_label
_atom_site_fract_x
_atom_site_fract_y
_atom_site_fract_z
Co1 0.407 0.620 0.814
Co2 0.093 0.806 0.186
Co3 0.593 0.380 0.186
Co4 0.907 0.194 0.814
Sm1 0.800 0.505 0.599
Sm2 0.700 0.906 0.401
Sm3 0.200 0.495 0.401
Sm4 0.300 0.094 0.599
Tb1 0.750 0.000 0.000
Tb2 0.250 0.000 0.000
Ce1 0.750 0.500 0.000
Ce2 0.250 0.500 0.000
```